# InGaHg2Cl PBE-GGA relaxed
# Raw total energy in eV per atom: -1.805
data_InGaHg2Cl
_space_group_name_H-M_alt 'P 4/m m m'
_space_group_IT_number 123
_space_group_name_Hall '-P 4 2'
_cell_length_a 5.262
_cell_length_b 5.262
_cell_length_c 5.496
_cell_angle_alpha 90.00
_cell_angle_beta 90.00
_cell_angle_gamma 90.00
loop_
_atom_site_label
_atom_site_type_symbol
_atom_site_fract_x
_atom_site_fract_y
_atom_site_fract_z
In1 In 0.000 0.000 0.000
Ga1 Ga 0.000 0.000 0.500
Hg1 Hg 0.000 0.500 0.500
Cl1 Cl 0.500 0.500 0.000

# InGaHgCl4 PBE-GGA relaxed
# Raw total energy in eV per atom: -2.820
data_InGaHgCl4
_space_group_name_H-M_alt 'C 1 2/m 1'
_space_group_IT_number 12
_cell_length_a 12.794
_cell_length_b 9.887
_cell_length_c 8.978
_cell_angle_alpha 90.00
_cell_angle_beta 105.60
_cell_angle_gamma 90.00
loop_
_space_group_symop_operation_xyz
'x,y,z'
'-x,-y,-z'
'-x,y,-z'
'x,-y,z'
'x+1/2,y+1/2,z'
'-x+1/2,-y+1/2,-z'
'-x+1/2,y+1/2,-z'
'x+1/2,-y+1/2,z'
loop_
_atom_site_label
_atom_site_type_symbol
_atom_site_fract_x
_atom_site_fract_y
_atom_site_fract_z
In1 In 0.246 0.000 0.130
Ga1 Ga 0.152 0.500 0.266
Hg1 Hg 0.025 0.000 0.812
Cl1 Cl 0.012 0.500 0.703
Cl2 Cl 0.174 0.324 0.122
Cl3 Cl 0.224 0.000 0.513